Record 1
Here is crystalline Li2CdPb2 at its relaxed geometry from the Alexandria database. Energies are from PBEsol.

Values from the calculation:
Its space group is P4/mbm.

a = 8.019 Å, b = 8.019 Å, c = 3.560 Å
α = 90.00°, β = 90.00°, γ = 90.00°
Atoms (fractional coordinates):
Li 0.156 0.344 0.000
Li 0.344 0.844 0.000
Li 0.656 0.156 0.000
Li 0.844 0.656 0.000
Cd 0.000 0.000 0.500
Cd 0.500 0.500 0.500
Pb 0.144 0.644 0.500
Pb 0.356 0.144 0.500
Pb 0.644 0.856 0.500
Pb 0.856 0.356 0.500

***

Record 2
Here is crystalline Li4CdPb at its relaxed geometry from the Alexandria database. Energies are from PBEsol.

Values from the calculation:
Its space group is F-43m.

a = 5.405 Å, b = 5.405 Å, c = 5.405 Å
α = 60.00°, β = 60.00°, γ = 60.00°
Atoms (fractional coordinates):
Li 0.125 0.125 0.125
Li 0.125 0.125 0.624
Li 0.125 0.624 0.125
Li 0.624 0.125 0.125
Cd 0.750 0.750 0.750
Pb 0.500 0.500 0.500

***

Record 3
Here is crystalline Li2Cd2Pb at its relaxed geometry from the Alexandria database. Energies are from PBEsol.

Values from the calculation:
Its space group is I4/mmm.

a = 3.962 Å, b = 3.962 Å, c = 14.159 Å
α = 90.00°, β = 90.00°, γ = 90.00°
Atoms (fractional coordinates):
Li 0.000 0.500 0.250
Li 0.000 0.500 0.750
Li 0.500 0.000 0.250
Li 0.500 0.000 0.750
Cd 0.000 0.000 0.108
Cd 0.000 0.000 0.892
Cd 0.500 0.500 0.392
Cd 0.500 0.500 0.608
Pb 0.000 0.000 0.500
Pb 0.500 0.500 0.000

***

Record 4
Here is crystalline LiCdPb at its relaxed geometry from the Alexandria database. Energies are from PBEsol.

Values from the calculation:
Its space group is I4mm.

a = 3.361 Å, b = 3.361 Å, c = 11.683 Å
α = 90.00°, β = 90.00°, γ = 90.00°
Atoms (fractional coordinates):
Li 0.000 0.000 0.000
Li 0.500 0.500 0.500
Cd 0.000 0.000 0.636
Cd 0.500 0.500 0.136
Pb 0.000 0.000 0.331
Pb 0.500 0.500 0.831

***

| no. | final energy (eV/atom) | DFT formation energy (kJ per mole of atoms) |
| --- | --- | --- |
| 1 | -2.7724 | -14 |
| 2 | -2.3034 | -12 |
| 3 | -2.1100 | -4 |
| 4 | -2.5401 | -15 |